1.
This record from the Alexandria database describes a geometry-optimized ScTa2O6 structure. The functional is PBE.

Lattice parameters (Å, degrees): 8.9501 8.9501 4.5931 90.00 90.00 120.00
Positions (direct):
Sc  0.0000  0.0000  0.0000
Sc  0.3333  0.6667  0.5012
Sc  0.6667  0.3333  0.4988
Ta  0.0000  0.3543  0.0000
Ta  0.0000  0.6877  0.5000
Ta  0.3123  0.3123  0.5000
Ta  0.3543  0.0000  0.0000
Ta  0.6457  0.6457  0.0000
Ta  0.6877  0.0000  0.5000
O  0.0995  0.5608  0.2569
O  0.1103  0.2345  0.2355
O  0.1242  0.8897  0.2355
O  0.2090  0.4299  0.7375
O  0.2209  0.7910  0.7375
O  0.2345  0.1103  0.7645
O  0.4299  0.2090  0.2625
O  0.4392  0.5387  0.2569
O  0.4613  0.9005  0.2569
O  0.5387  0.4392  0.7431
O  0.5608  0.0995  0.7431
O  0.5701  0.7791  0.7375
O  0.7655  0.8758  0.2355
O  0.7791  0.5701  0.2625
O  0.7910  0.2209  0.2625
O  0.8758  0.7655  0.7645
O  0.8897  0.1242  0.7645
O  0.9005  0.4613  0.7431

Results
Volume, Å³/cell: 318.6
Formation energy from raw total energies, eV per atom: -2.9158
Uncorrected energy, eV/atom: -9.56
SG: P321

=====

2.
This record from the Alexandria database describes a geometry-optimized PmScAlHg structure. The functional is PBE.

Lattice parameters (Å, degrees): 5.1353 5.1353 5.1353 60.00 60.00 60.00
Positions (direct):
Pm  0.0000  0.0000  0.0000
Sc  0.5000  0.5000  0.5000
Al  0.7500  0.7500  0.7500
Hg  0.2500  0.2500  0.2500

Results
Volume, Å³/cell: 95.8
Uncorrected energy, eV/atom: -4.15
Energy of formation, meV/atom: -367
SG: F-43m